AcYWO6 | PBE with a Hubbard U | relaxed

Unit cell a=5.6233 b=5.6233 c=5.2358 alpha=90.00 beta=90.00 gamma=120.00
Space group P312 (No. 149)
Unique sites:
Ac: 0.0000 0.0000 0.0000
Y: 0.3333 0.6667 0.5000
W: 0.6667 0.3333 0.5000
O: 0.3841 0.0394 0.7116

Summary:
theoretical density	6.90	g/cm³
crystal system	trigonal
VASP energy	-73.82	eV for the cell shown